(1)
Li3PrY2S6 PBE-GGA optimized geometry; electronic total energy = -5.84 eV per atom; formation energy without anion corrections = -1.818 eV/atom; SG = No. 12
1.0
6.8913 -0.0048 0.0057
-3.4481 5.9666 0.0057
-1.1435 -1.9800 6.1955
Li Pr Y S
3 1 2 6
Cartesian
-2.2424 3.9500 3.1035
4.5420 0.0318 3.1035
1.1498 1.9909 3.1035
0.0000 0.0000 0.0000
0.0021 3.9740 0.0057
3.4411 1.9878 0.0057
3.4865 1.9337 4.6409
2.2580 3.9097 1.5840
-1.1869 2.0482 1.5660
-0.0675 3.9863 4.6409
0.0416 0.0721 4.6229
2.3672 -0.0045 1.5660

***

(2)
Nb4C3N PBE-GGA optimized geometry; electronic total energy = -10.14 eV per atom; formation energy without anion corrections = -0.609 eV/atom; SG = No. 13
1.0
5.5060 0.0410 0.0000
-1.8915 5.1933 0.0000
0.0000 0.0000 6.3555
Nb C N
8 6 2
Cartesian
-0.4465 1.3276 3.9336
2.2394 1.3978 5.5245
2.3065 1.3481 2.4219
4.9924 1.4183 0.8310
-1.3778 3.8160 5.5245
1.3080 3.8861 3.9336
1.3752 3.8364 0.8310
4.0611 3.9066 2.4219
4.1295 0.0307 2.3756
1.3765 0.0102 3.9799
3.1838 2.6273 3.9781
3.1838 2.6273 0.7900
0.4308 2.6069 2.3774
0.4308 2.6069 5.5655
4.1295 0.0307 5.5820
1.3765 0.0102 0.7735

***

(3)
InTe2P PBE-GGA optimized geometry; electronic total energy = -3.18 eV per atom; formation energy without anion corrections = 0.429 eV/atom; energy relative to the lowest polymorph listed for this composition = 39.1 kJ/mol of atoms; SG = No. 225
1.0
0.0000 3.6790 3.6790
3.6790 0.0000 3.6790
3.6790 3.6790 0.0000
P Te In
1 2 1
Cartesian
0.0000 0.0000 0.0000
1.8395 1.8395 1.8395
5.5185 5.5185 5.5185
3.6790 3.6790 3.6790

***

(4)
Sm4In5Ge2 PBE-GGA optimized geometry; calculated formation energy = -534 meV/atom; electronic total energy = -4.33 eV per atom; SG = No. 10
1.0
-3.5491 -2.1295 -0.6621
3.6084 -6.5812 1.8245
-2.5507 1.6168 8.4722
Sm In Ge
4 5 2
Cartesian
-0.4764 -5.2058 6.0286
-3.2256 -1.0195 7.3011
-2.0151 -1.8881 3.6060
0.7342 -6.0744 2.3334
1.0906 -3.0080 3.8284
0.1782 -0.7280 1.3862
1.8042 -3.2906 0.9123
0.8795 -4.2364 8.9105
-0.0329 -1.9564 6.4683
-1.2941 0.4563 5.4692
2.3518 -5.4207 4.8275

***

> electronic total energy of number 4 (Sm4In5Ge2)?

-4.33 eV per atom

***

> Which value of electronic total energy does entry 2 give?

-10.14 eV per atom